VASP calculation (PBE-GGA) on Dy2PuSbN5 after structural relaxation.

Cell: 3.4259 14.0224 10.4606 Å, 90.00 90.00 90.00°
Space group Cmc2_1 (No. 36)
Asymmetric unit:
Dy 0.0000 0.1115 0.0000
Dy 0.0000 0.1356 0.5874
Pu 0.0000 0.2191 0.3097
Sb 0.0000 0.4789 0.7708
N 0.0000 0.0524 0.3736
N 0.0000 0.2824 0.9568
N 0.0000 0.3174 0.6719
N 0.0000 0.3773 0.3189
N 0.0000 0.4912 0.0817

Properties
For the total magnetization, the calculation gives 15.88 μB/cell. For the formation energy (no corrections), the calculation gives -777 meV per atom.